(1)
Computed, not measured: crystalline Dy2NiGePt6 at its relaxed geometry at the GGA-PBE level of DFT.

Cell lengths 11.4933, 5.4151, 7.7037 Å; angles 90.00, 130.46, 90.00 degrees
Space group C2/m (No. 12)
One atom of each set of equivalent atoms:
Dy (0.0012, 0.0000, 0.2379)
Ni (0.0000, 0.5000, 0.0000)
Ge (0.0000, 0.5000, 0.5000)
Pt (0.1698, 0.5000, 0.4164)
Pt (0.2485, 0.2471, 0.8054)

V ... 364.8 Å³ per cell
Calculated density ... 14.81 g cm⁻³
ΔH_f (0 K) ... -728 meV/atom

(2)
Computed, not measured: crystalline TiPd5Au6 at its relaxed geometry at the GGA-PBE level of DFT.

Cell lengths 4.0101, 12.2318, 8.1171 Å; angles 90.00, 90.08, 90.00 degrees
Space group C2/m (No. 12)
One atom of each set of equivalent atoms:
Ti (0.0000, 0.0000, 0.0000)
Pd (0.0000, 0.0000, 0.5000)
Pd (0.0000, 0.3336, 0.5000)
Pd (0.0000, 0.3431, 0.0000)
Au (0.0000, 0.1665, 0.2481)
Au (0.9998, 0.5000, 0.2504)

ΔE to the lowest computed polymorph ... 0.000 eV per atom
V ... 398.2 Å³ per cell
Calculated density ... 14.70 g cm⁻³
ΔH_f (0 K) ... -217 meV/atom

(3)
Computed, not measured: crystalline TiPN3 at its relaxed geometry at the GGA-PBE level of DFT.

Cell lengths 2.8681, 5.5775, 5.8398 Å; angles 90.00, 90.00, 90.00 degrees
Space group Pmc2_1 (No. 26)
One atom of each set of equivalent atoms:
Ti (0.0000, 0.1416, 0.0000)
P (0.5000, 0.3179, 0.4975)
N (0.0000, 0.2269, 0.3673)
N (0.5000, 0.1056, 0.7000)
N (0.5000, 0.3998, 0.0180)

Formation energy (no corrections) ... -691 meV per atom
V ... 93.4 Å³ per cell
Calculated density ... 4.30 g cm⁻³

(4)
Computed, not measured: crystalline Sc2Ag5F12 at its relaxed geometry at the GGA-PBE level of DFT.

Cell lengths 12.1888, 7.8475, 6.9299 Å; angles 90.00, 122.95, 90.00 degrees
Space group C2/m (No. 12)
One atom of each set of equivalent atoms:
Sc (0.0000, 0.2477, 0.0000)
Ag (0.0000, 0.0000, 0.5000)
Ag (0.1943, 0.5000, 0.5106)
Ag (0.2320, 0.5000, 0.9690)
F (0.0097, 0.5000, 0.8291)
F (0.0534, 0.1871, 0.7721)
F (0.1122, 0.0000, 0.1541)
F (0.1912, 0.3117, 0.2259)

Formation energy (no corrections) ... -2198 meV per atom
V ... 556.2 Å³ per cell
Calculated density ... 5.12 g cm⁻³

(5)
Computed, not measured: crystalline MoPSe at its relaxed geometry at the GGA-PBE level of DFT.

Cell lengths 3.0567, 3.0567, 11.9543 Å; angles 90.00, 90.00, 90.00 degrees
Space group I4mm (No. 107)
One atom of each set of equivalent atoms:
Mo (0.0000, 0.0000, 0.0000)
P (0.0000, 0.0000, 0.6143)
Se (0.0000, 0.0000, 0.3683)

ΔE to the lowest computed polymorph ... 0.161 eV per atom
Formation energy (no corrections) ... -118 meV per atom
V ... 111.7 Å³ per cell
Calculated density ... 6.12 g cm⁻³

Which of these has the highest V? Sc2Ag5F12

calculated density of number 4 (Sc2Ag5F12)? 5.12 g cm⁻³

What did the fifth record say?
Computed, not measured: crystalline MoPSe at its relaxed geometry at the GGA-PBE level of DFT.

Cell lengths 3.0567, 3.0567, 11.9543 Å; angles 90.00, 90.00, 90.00 degrees
Space group I4mm (No. 107)
One atom of each set of equivalent atoms:
Mo (0.0000, 0.0000, 0.0000)
P (0.0000, 0.0000, 0.6143)
Se (0.0000, 0.0000, 0.3683)

ΔE to the lowest computed polymorph ... 0.161 eV per atom
Formation energy (no corrections) ... -118 meV per atom
V ... 111.7 Å³ per cell
Calculated density ... 6.12 g cm⁻³

Copy entry 5 word for word.
Computed, not measured: crystalline MoPSe at its relaxed geometry at the GGA-PBE level of DFT.

Cell lengths 3.0567, 3.0567, 11.9543 Å; angles 90.00, 90.00, 90.00 degrees
Space group I4mm (No. 107)
One atom of each set of equivalent atoms:
Mo (0.0000, 0.0000, 0.0000)
P (0.0000, 0.0000, 0.6143)
Se (0.0000, 0.0000, 0.3683)

ΔE to the lowest computed polymorph ... 0.161 eV per atom
Formation energy (no corrections) ... -118 meV per atom
V ... 111.7 Å³ per cell
Calculated density ... 6.12 g cm⁻³